Record 1
GGA-PBE SnPd6Au5, relaxed; distance to the lowest polymorph of the same formula = 63 meV/atom; energy of formation = -0.16 eV/atom; D(E_F) = 5.70 states/eV/cell; total moment = 0.0 μB per formula unit; uncorrected energy = -53.5 eV for the cell shown
1.0
4.6220 -4.4085 0.0000
4.6220 4.4085 0.0000
-0.9367 0.0000 4.9821
Sn Pd Au
1 6 5
Cartesian
0.0000 0.0000 0.0000
2.0349 1.4524 1.2232
1.5509 0.0000 3.7204
2.0349 -1.4524 1.2232
6.2724 1.4524 3.7589
6.7564 0.0000 1.2617
6.2724 -1.4524 3.7589
4.1536 2.8744 2.4910
4.6220 1.4206 0.0000
4.1536 0.0000 2.4910
4.6220 -1.4206 0.0000
4.1536 -2.8744 2.4910

***

Record 2
GGA-PBE SrTlPd, relaxed; energy of formation = -0.47 eV/atom; D(E_F) = 2.77 states/eV/cell; total moment = 0.0 μB per formula unit; uncorrected energy = -10.6 eV for the cell shown
1.0
4.8037 0.0000 0.0000
-2.4019 4.1601 0.0000
0.0000 0.0000 4.2080
Sr Tl Pd
1 1 1
Cartesian
0.0000 0.0000 0.0000
2.4019 1.3867 2.1040
0.0000 2.7734 2.1040

***

Record 3
GGA-PBE ZnIn2Si, relaxed; distance to the lowest polymorph of the same formula = 120 meV/atom; D(E_F) = 1.44 states/eV/cell; ΔE_f (raw) = 300 meV/atom; total moment = 0.0 μB per formula unit; uncorrected energy = -11.0 eV for the cell shown
1.0
4.0880 0.0000 0.0000
0.0000 4.2210 0.0000
0.0000 0.0000 4.9537
Zn In Si
1 2 1
Cartesian
0.0000 0.0000 0.0000
2.0440 0.0000 2.4769
2.0440 2.1105 0.0000
0.0000 2.1105 2.4769

***

Record 4
GGA-PBE Ba3CdNi, relaxed; distance to the lowest polymorph of the same formula = 0 meV/atom; energy of formation = -0.11 eV/atom; D(E_F) = 9.91 states/eV/cell; total moment = 0.0 μB per formula unit; uncorrected energy = -26.0 eV for the cell shown
1.0
9.6880 -2.1968 0.0000
9.6880 2.1968 0.0000
-0.5417 0.0000 9.8906
Ba Cd Ni
6 2 2
Cartesian
0.6841 0.0000 3.1780
4.3507 0.0000 7.0118
7.5067 0.0000 0.4707
11.3276 0.0000 9.4199
14.4837 0.0000 2.8788
18.1503 0.0000 6.7126
7.5734 0.0000 4.1068
11.2610 0.0000 5.7838
4.5291 0.0000 0.2702
14.3053 0.0000 9.6204

***

Record 5
GGA-PBE ZnFe2Br, relaxed; distance to the lowest polymorph of the same formula = 59 meV/atom; D(E_F) = 2.89 states/eV/cell; ΔE_f (raw) = 304 meV/atom; total moment = 5.5 μB per formula unit; uncorrected energy = -18.7 eV for the cell shown
1.0
4.1752 -1.6513 0.0000
4.1752 1.6513 0.0000
-3.5924 0.0000 6.3592
Zn Fe Br
1 2 1
Cartesian
0.0000 0.0000 0.0000
2.4111 0.0000 0.7767
2.3469 0.0000 5.5825
2.3790 0.0000 3.1796

***

Record 6
GGA-PBE KTe2Se, relaxed; D(E_F) = 2.20 states/eV/cell; ΔE_f (raw) = -46 meV/atom; total moment = 0.0 μB per formula unit; uncorrected energy = -11.0 eV for the cell shown
1.0
0.0000 3.8962 3.8962
3.8962 0.0000 3.8962
3.8962 3.8962 0.0000
K Te Se
1 2 1
Cartesian
0.0000 0.0000 0.0000
3.8962 3.8962 3.8962
5.8442 5.8442 5.8442
1.9481 1.9481 1.9481

***

Record 7
GGA-PBE TbSm6Th4, relaxed; energy of formation = 0.17 eV/atom; D(E_F) = 16.15 states/eV/cell; total moment = 0.0 μB per formula unit; uncorrected energy = -60.7 eV for the cell shown
1.0
-1.7392 2.9599 18.0037
1.7392 -2.9599 18.0037
1.7392 2.9599 -18.0037
Tb Sm Th
1 6 4
Cartesian
0.0000 0.0000 0.0000
1.7392 0.0000 3.4319
1.7392 0.0000 9.6460
1.7392 0.0000 13.2802
0.0000 2.9599 4.7236
0.0000 2.9599 8.3577
0.0000 2.9599 14.5718
0.0000 0.0000 6.5677
0.0000 0.0000 16.4510
0.0000 0.0000 19.5565
0.0000 0.0000 29.4398

***

Record 8
GGA-PBE LaPm3Cd2, relaxed; energy of formation = -0.21 eV/atom; D(E_F) = 7.33 states/eV/cell; total moment = 0.3 μB per formula unit; uncorrected energy = -22.3 eV for the cell shown
1.0
3.7816 0.0000 0.0000
0.0000 3.7816 0.0000
0.0000 0.0000 12.8407
La Pm Cd
1 3 2
Cartesian
0.0000 0.0000 0.0000
1.8908 1.8908 2.5278
1.8908 1.8908 6.4203
1.8908 1.8908 10.3129
0.0000 0.0000 4.4589
0.0000 0.0000 8.3818

***

Record 9
GGA-PBE Re2SiTc, relaxed; D(E_F) = 3.74 states/eV/cell; ΔE_f (raw) = 112 meV/atom; total moment = 0.0 μB per formula unit; uncorrected energy = -40.2 eV for the cell shown
1.0
4.3868 0.0000 0.0000
0.0000 4.3868 0.0000
0.0000 0.0000 2.9601
Re Si Tc
2 1 1
Cartesian
0.0000 2.1934 0.0000
2.1934 0.0000 0.0000
0.0000 0.0000 1.4801
2.1934 2.1934 1.4801

***

Record 10
GGA-PBE LiNpBi2O8, relaxed; D(E_F) = 2.52 states/eV/cell; ΔE_f (raw) = -1664 meV/atom; total moment = 0.0 μB per formula unit; uncorrected energy = -82.3 eV for the cell shown
1.0
3.5836 -3.6040 0.0000
3.5836 3.6040 0.0000
0.0000 0.0000 6.8567
Li Np Bi O
1 1 2 8
Cartesian
0.0000 0.0000 0.0000
0.0000 0.0000 3.4284
3.5836 0.0000 1.6411
3.5836 0.0000 5.2156
3.5836 2.2886 1.9479
3.5836 2.2886 4.9088
2.1390 0.0000 3.4284
2.1561 0.0000 0.0000
5.0110 0.0000 0.0000
5.0281 0.0000 3.4284
3.5836 -2.2886 1.9479
3.5836 -2.2886 4.9088

***

Record 11
GGA-PBE CaBeSn2Au5, relaxed; energy of formation = -0.27 eV/atom; D(E_F) = 3.61 states/eV/cell; total moment = 0.0 μB per formula unit; uncorrected energy = -32.5 eV for the cell shown
1.0
-2.3159 3.0145 7.0929
2.3159 -3.0145 7.0929
2.3159 3.0145 -7.0929
Ca Be Sn Au
1 1 2 5
Cartesian
0.0000 0.0000 0.0000
0.0000 0.0000 7.0929
2.3159 0.0000 4.2196
0.0000 3.0145 2.8733
2.3159 1.4428 -1.7522
2.3159 1.4428 1.7522
0.0000 3.0145 0.0000
0.0000 1.5717 5.3407
0.0000 1.5717 8.8451